Record 1
Below is a geometry-optimized PrTmAl structure, with properties calculated at the PBE-GGA level.

Results
**DFT total energy**: -27.3 eV for the cell shown
**E_form**: -20.9 kJ per mole of atoms
**Density of states at the Fermi level**: 1.198 states/eV/atom
**Energy above the lowest structure with this stoichiometry**: 0.3 meV per atom
**Calculated volume**: 82.6 Å³/f.u.

Lattice parameters (Å, degrees): 5.3264 5.3264 6.7245 90.00 90.00 120.00
Space group P6_3/mmc (No. 194)
Inequivalent atoms, fractional coordinates:
1 Pr 0.0000 0.0000 0.0000 (multiplicity 2)
2 Tm 0.3333 0.6667 0.2500 (multiplicity 2)
3 Al 0.3333 0.6667 0.7500 (multiplicity 2)

Record 2
Below is a geometry-optimized In2PtPb structure, with properties calculated at the PBE-GGA level.

Results
**DFT total energy**: -31.7 eV for the cell shown
**E_form**: -14.7 kJ per mole of atoms
**Density of states at the Fermi level**: 0.499 states/eV/atom
**Calculated volume**: 94.5 Å³/f.u.

Lattice parameters (Å, degrees): 4.651 4.748 8.561 90.00 90.00 90.00
Space group Cmmm (No. 65)
Inequivalent atoms, fractional coordinates:
1 In 0.000 0.000 0.194 (multiplicity 4)
2 Pt 0.000 0.500 0.000 (multiplicity 2)
3 Pb 0.000 0.500 0.500 (multiplicity 2)

Record 3
Below is a geometry-optimized YZnIrRu structure, with properties calculated at the PBE-GGA level.

Results
**DFT total energy**: -54.1 eV for the cell shown
**E_form**: -28.1 kJ per mole of atoms
**Density of states at the Fermi level**: 0.869 states/eV/atom
**Energy above the lowest structure with this stoichiometry**: 22.6 meV per atom
**Calculated volume**: 77.3 Å³/f.u.

Lattice parameters (Å, degrees): 7.577 4.373 5.302 90.00 118.42 90.00
Space group Cm (No. 8)
Inequivalent atoms, fractional coordinates:
1 Y 0.000 0.000 0.000 (multiplicity 2)
2 Zn 0.295 0.500 0.387 (multiplicity 2)
3 Ir 0.036 0.500 0.610 (multiplicity 2)
4 Ru 0.200 0.000 0.603 (multiplicity 2)

Record 4
Below is a geometry-optimized SrCo2P structure, with properties calculated at the PBE-GGA level.

Results
**DFT total energy**: -19.4 eV for the cell shown
**E_form**: 45.1 kJ per mole of atoms
**Density of states at the Fermi level**: 1.088 states/eV/atom
**Calculated volume**: 67.5 Å³/f.u.

Lattice parameters (Å, degrees): 4.147 4.147 3.927 90.00 90.00 90.00
Space group P4/mmm (No. 123)
Inequivalent atoms, fractional coordinates:
1 Sr 0.000 0.000 0.000 (multiplicity 1)
2 Co 0.000 0.500 0.500 (multiplicity 2)
3 P 0.500 0.500 0.000 (multiplicity 1)

Record 5
Below is a geometry-optimized Li4NpU3S8 structure, with properties calculated at the PBE-GGA level.

Results
**Formation energy from raw total energies**: -1.37 eV per atom
**DFT total energy**: -328.3 eV for the cell shown
**Density of states at the Fermi level**: 1.204 states/eV/atom
**Calculated volume**: 323.9 Å³/f.u.

Lattice parameters (Å, degrees): 7.7221 7.7221 18.8192 90.00 90.00 120.00
Space group R-3m (No. 166, hexagonal axes)
Inequivalent atoms, fractional coordinates:
1 Li 0.0000 0.0000 0.0000 (multiplicity 3)
2 Li 0.0000 0.5000 0.0000 (multiplicity 9)
3 Np 0.0000 0.0000 0.5000 (multiplicity 3)
4 U 0.0000 0.5000 0.5000 (multiplicity 9)
5 S 0.0000 0.0000 0.2530 (multiplicity 6)
6 S 0.0021 0.5010 0.7477 (multiplicity 18)

Record 6
Below is a geometry-optimized Ac4Ni3Ge5 structure, with properties calculated at the PBE-GGA level.

Results
**DFT total energy**: -124.7 eV for the cell shown
**E_form**: -44.0 kJ per mole of atoms
**Density of states at the Fermi level**: 0.507 states/eV/atom
**Calculated volume**: 302.6 Å³/f.u.

Lattice parameters (Å, degrees): 14.981 4.608 9.596 90.00 114.00 90.00
Space group C2/m (No. 12)
Inequivalent atoms, fractional coordinates:
1 Ac 0.045 0.000 0.320 (multiplicity 4)
2 Ac 0.246 0.500 0.187 (multiplicity 4)
3 Ni 0.000 0.000 0.000 (multiplicity 2)
4 Ni 0.101 0.500 0.868 (multiplicity 4)
5 Ge 0.000 0.500 0.000 (multiplicity 2)
6 Ge 0.090 0.500 0.618 (multiplicity 4)
7 Ge 0.216 0.500 0.513 (multiplicity 4)

Record 7
Below is a geometry-optimized NaCu3N structure, with properties calculated at the PBE-GGA level.

Results
**Formation energy from raw total energies**: 0.32 eV per atom
**DFT total energy**: -20.3 eV for the cell shown
**Density of states at the Fermi level**: 0.340 states/eV/atom
**Energy above the lowest structure with this stoichiometry**: 0.0 meV per atom
**Calculated volume**: 64.3 Å³/f.u.

Lattice parameters (Å, degrees): 4.006 4.006 4.006 90.00 90.00 90.00
Space group Pm-3m (No. 221)
Inequivalent atoms, fractional coordinates:
1 Na 0.000 0.000 0.000 (multiplicity 1)
2 Cu 0.000 0.500 0.500 (multiplicity 3)
3 N 0.500 0.500 0.500 (multiplicity 1)

Record 8
Below is a geometry-optimized AcAlTl2O4 structure, with properties calculated at the PBE-GGA level.

Results
**Formation energy from raw total energies**: -2.15 eV per atom
**DFT total energy**: -99.2 eV for the cell shown
**Density of states at the Fermi level**: 0.000 states/eV/atom
**Calculated volume**: 174.8 Å³/f.u.

Lattice parameters (Å, degrees): 7.241 9.165 5.269 90.00 90.00 90.00
Space group Pmn2_1 (No. 31)
Inequivalent atoms, fractional coordinates:
1 Ac 0.000 0.088 0.000 (multiplicity 2)
2 Al 0.000 0.856 0.476 (multiplicity 2)
3 Tl 0.250 0.329 0.495 (multiplicity 4)
4 O 0.000 0.053 0.524 (multiplicity 2)
5 O 0.000 0.836 0.136 (multiplicity 2)
6 O 0.214 0.787 0.590 (multiplicity 4)

Record 9
Below is a geometry-optimized Hf3Be4Co4 structure, with properties calculated at the PBE-GGA level.

Results
**DFT total energy**: -151.2 eV for the cell shown
**E_form**: -21.4 kJ per mole of atoms
**Density of states at the Fermi level**: 0.679 states/eV/atom
**Calculated volume**: 138.6 Å³/f.u.

Lattice parameters (Å, degrees): 6.520 6.520 6.520 90.00 90.00 90.00
Space group I-43m (No. 217)
Inequivalent atoms, fractional coordinates:
1 Hf 0.000 0.000 0.500 (multiplicity 6)
2 Be 0.113 0.113 0.887 (multiplicity 8)
3 Co 0.205 0.205 0.205 (multiplicity 8)

Record 10
Below is a geometry-optimized Nd2Tm8In structure, with properties calculated at the PBE-GGA level.

Results
**DFT total energy**: -96.9 eV for the cell shown
**E_form**: -3.5 kJ per mole of atoms
**Density of states at the Fermi level**: 1.296 states/eV/atom
**Calculated volume**: 336.3 Å³/f.u.

Lattice parameters (Å, degrees): 18.657 5.363 6.736 90.00 93.61 90.00
Space group C2/m (No. 12)
Inequivalent atoms, fractional coordinates:
1 Nd 0.223 0.000 0.169 (multiplicity 4)
2 Tm 0.037 0.000 0.245 (multiplicity 4)
3 Tm 0.089 0.500 0.921 (multiplicity 4)
4 Tm 0.156 0.000 0.673 (multiplicity 4)
5 Tm 0.158 0.500 0.404 (multiplicity 4)
6 In 0.000 0.500 0.500 (multiplicity 2)

Record 11
Below is a geometry-optimized ZnReB3 structure, with properties calculated at the PBE-GGA level.

Results
**DFT total energy**: -28.1 eV for the cell shown
**E_form**: 109.0 kJ per mole of atoms
**Density of states at the Fermi level**: 0.510 states/eV/atom
**Energy above the lowest structure with this stoichiometry**: 0.0 meV per atom
**Calculated volume**: 70.5 Å³/f.u.

Lattice parameters (Å, degrees): 4.132 4.132 4.132 90.00 90.00 90.00
Space group Pm-3m (No. 221)
Inequivalent atoms, fractional coordinates:
1 Zn 0.000 0.000 0.000 (multiplicity 1)
2 Re 0.500 0.500 0.500 (multiplicity 1)
3 B 0.000 0.500 0.500 (multiplicity 3)

Record 12
Below is a geometry-optimized NaYTi structure, with properties calculated at the PBE-GGA level.

Results
**DFT total energy**: -26.6 eV for the cell shown
**E_form**: 76.2 kJ per mole of atoms
**Density of states at the Fermi level**: 1.461 states/eV/atom
**Energy above the lowest structure with this stoichiometry**: 682.4 meV per atom
**Calculated volume**: 94.7 Å³/f.u.

Lattice parameters (Å, degrees): 4.706 4.706 8.555 90.00 90.00 90.00
Space group P4/nmm (No. 129, origin choice 2)
Inequivalent atoms, fractional coordinates:
1 Na 0.250 0.250 0.157 (multiplicity 2)
2 Y 0.250 0.750 0.500 (multiplicity 2)
3 Ti 0.250 0.250 0.757 (multiplicity 2)

Record 13
Below is a geometry-optimized Ac5Pm4Y2 structure, with properties calculated at the PBE-GGA level.

Results
**DFT total energy**: -50.7 eV for the cell shown
**E_form**: 15.3 kJ per mole of atoms
**Density of states at the Fermi level**: 1.827 states/eV/atom
**Calculated volume**: 434.2 Å³/f.u.

Lattice parameters (Å, degrees): 9.345 3.700 12.570 90.00 92.34 90.00
Space group P2/m (No. 10)
Inequivalent atoms, fractional coordinates:
1 Ac 0.000 0.000 0.000 (multiplicity 1)
2 Ac 0.199 0.000 0.523 (multiplicity 2)
3 Ac 0.281 0.000 0.816 (multiplicity 2)
4 Pm 0.079 0.500 0.265 (multiplicity 2)
5 Pm 0.463 0.500 0.354 (multiplicity 2)
6 Y 0.351 0.000 0.119 (multiplicity 2)

Record 14
Below is a geometry-optimized PaTlAsN structure, with properties calculated at the PBE-GGA level.

Results
**Formation energy from raw total energies**: -1.03 eV per atom
**DFT total energy**: -173.8 eV for the cell shown
**Calculated volume**: 93.4 Å³/f.u.

Lattice parameters (Å, degrees): 3.9644 3.9644 41.1814 90.00 90.00 120.00
Space group R-3m (No. 166, hexagonal axes)
Inequivalent atoms, fractional coordinates:
1 Pa 0.0000 0.0000 0.1316 (multiplicity 6)
2 Tl 0.0000 0.0000 0.2926 (multiplicity 6)
3 As 0.0000 0.0000 0.4207 (multiplicity 6)
4 N 0.0000 0.0000 0.1865 (multiplicity 6)

Record 15
Below is a geometry-optimized Tc3MoC structure, with properties calculated at the PBE-GGA level.

Results
**DFT total energy**: -202.7 eV for the cell shown
**E_form**: 9.1 kJ per mole of atoms
**Density of states at the Fermi level**: 0.783 states/eV/atom
**Energy above the lowest structure with this stoichiometry**: 10.4 meV per atom
**Calculated volume**: 66.1 Å³/f.u.

Lattice parameters (Å, degrees): 8.955 4.154 7.882 90.00 115.66 90.00
Space group C2/m (No. 12)
Inequivalent atoms, fractional coordinates:
1 Tc 0.122 0.000 0.430 (multiplicity 4)
2 Tc 0.128 0.500 0.176 (multiplicity 4)
3 Tc 0.133 0.500 0.712 (multiplicity 4)
4 Mo 0.118 0.000 0.932 (multiplicity 4)
5 C 0.119 0.500 0.434 (multiplicity 4)

Record 16
Below is a geometry-optimized Ce2MgBe structure, with properties calculated at the PBE-GGA level.

Results
**DFT total energy**: -16.7 eV for the cell shown
**E_form**: 11.9 kJ per mole of atoms
**Density of states at the Fermi level**: 2.280 states/eV/atom
**Energy above the lowest structure with this stoichiometry**: 0.0 meV per atom
**Calculated volume**: 93.8 Å³/f.u.

Lattice parameters (Å, degrees): 3.608 3.608 7.208 90.00 90.00 90.00
Space group P4/mmm (No. 123)
Inequivalent atoms, fractional coordinates:
1 Ce 0.000 0.000 0.196 (multiplicity 2)
2 Mg 0.500 0.500 0.500 (multiplicity 1)
3 Be 0.500 0.500 0.000 (multiplicity 1)

Record 17
Below is a geometry-optimized ScTcTe2 structure, with properties calculated at the PBE-GGA level.

Results
**Formation energy from raw total energies**: -0.05 eV per atom
**DFT total energy**: -23.2 eV for the cell shown
**Density of states at the Fermi level**: 0.547 states/eV/atom
**Energy above the lowest structure with this stoichiometry**: 344.0 meV per atom
**Calculated volume**: 89.7 Å³/f.u.

Lattice parameters (Å, degrees): 3.733 4.259 5.691 90.00 97.73 90.00
Space group P2/m (No. 10)
Inequivalent atoms, fractional coordinates:
1 Sc 0.000 0.000 0.000 (multiplicity 1)
2 Tc 0.500 0.000 0.500 (multiplicity 1)
3 Te 0.311 0.500 0.738 (multiplicity 2)

Record 18
Below is a geometry-optimized PrSi2Ir5 structure, with properties calculated at the PBE-GGA level.

Results
**Formation energy from raw total energies**: -0.66 eV per atom
**DFT total energy**: -130.4 eV for the cell shown
**Density of states at the Fermi level**: 0.856 states/eV/atom
**Calculated volume**: 131.4 Å³/f.u.

Lattice parameters (Å, degrees): 3.923 6.930 9.664 90.00 90.00 90.00
Space group Immm (No. 71)
Inequivalent atoms, fractional coordinates:
1 Pr 0.000 0.000 0.000 (multiplicity 2)
2 Si 0.000 0.500 0.243 (multiplicity 4)
3 Ir 0.000 0.198 0.354 (multiplicity 8)
4 Ir 0.000 0.500 0.000 (multiplicity 2)

Record 19
Below is a geometry-optimized LaTb5Y2 structure, with properties calculated at the PBE-GGA level.

Results
**DFT total energy**: -81.6 eV for the cell shown
**E_form**: 2.2 kJ per mole of atoms
**Density of states at the Fermi level**: 1.381 states/eV/atom
**Calculated volume**: 261.3 Å³/f.u.

Lattice parameters (Å, degrees): 7.186 14.374 5.059 90.00 90.00 90.00
Space group Pbam (No. 55)
Inequivalent atoms, fractional coordinates:
1 La 0.000 0.000 0.000 (multiplicity 2)
2 Tb 0.000 0.252 0.000 (multiplicity 4)
3 Tb 0.000 0.500 0.000 (multiplicity 2)
4 Tb 0.249 0.374 0.500 (multiplicity 4)
5 Y 0.249 0.626 0.500 (multiplicity 4)

Record 20
Below is a geometry-optimized Ba3P2 structure, with properties calculated at the PBE-GGA level.

Results
**DFT total energy**: -167.1 eV for the cell shown
**E_form**: -83.1 kJ per mole of atoms
**Density of states at the Fermi level**: 0.356 states/eV/atom
**Energy above the lowest structure with this stoichiometry**: 121.6 meV per atom
**Calculated volume**: 232.0 Å³/f.u.

Lattice parameters (Å, degrees): 13.378 14.304 9.700 90.00 90.00 90.00
Space group Fdd2 (No. 43)
Inequivalent atoms, fractional coordinates:
1 Ba 0.000 0.000 0.000 (multiplicity 8)
2 Ba 0.042 0.343 0.814 (multiplicity 16)
3 P 0.093 0.289 0.504 (multiplicity 16)